(1)
A relaxed ReTeW2 crystal. Source: the Alexandria database, functional PBE.

## Properties
Uncorrected formation energy in eV per atom: 0.791
Space group: F-43m (216)
Fermi-level density of states in states/eV per cell: 6.19
Spin magnetization in μB/cell: 0.2

Cell: 4.5933 4.5933 4.5933 Å, 60.00 60.00 60.00°
Last column: nearest neighbours and their distance in Å.
Fractional coordinates of all 4 atoms:
Re1 0.5000 0.5000 0.5000  4 Te 2.81, 4 W 2.81
W1 0.2500 0.2500 0.2500  4 Re 2.81, 4 W 2.81
W2 0.0000 0.0000 0.0000  4 W 2.81, 4 Te 2.81
Te1 0.7500 0.7500 0.7500  4 W 2.81, 4 Re 2.81

(2)
A relaxed CaMg30ZnO32 crystal. Source: the Alexandria database, functional PBE.

## Properties
Uncorrected formation energy in eV per atom: -2.657
Space group: P4/mmm (123)
Fermi-level density of states in states/eV per cell: 0.00
Spin magnetization in μB/cell: 0.0

Cell: 8.5498 8.5698 8.5698 Å, 90.00 90.00 90.00°
Last column: nearest neighbours and their distance in Å.
Fractional coordinates of all 64 atoms:
O1 0.0000 0.7379 0.0000  5 Mg 2.04-2.17, 1 Ca 2.25
O2 0.2500 0.2496 0.7504  6 Mg 2.14-2.15
O3 0.2515 0.5000 0.0000  6 Mg 2.11-2.15
O4 0.2500 0.2496 0.2496  6 Mg 2.14-2.15
O5 0.0000 0.5000 0.2522  6 Mg 2.12-2.16
O6 0.7500 0.2496 0.7504  6 Mg 2.14-2.15
O7 0.7485 0.0000 0.5000  6 Mg 2.11-2.15
O8 0.0000 0.2522 0.5000  6 Mg 2.12-2.16
O9 0.2504 0.5000 0.5000  6 Mg 2.13-2.14
O10 0.2612 0.0000 0.0000  1 Zn 2.04, 4 Mg 2.17, 1 Ca 2.23
O11 0.0000 0.0000 0.2621  5 Mg 2.04-2.17, 1 Ca 2.25
O12 0.5000 0.0000 0.2568  5 Mg 2.08-2.14, 1 Zn 2.20
O13 0.2500 0.7504 0.2496  6 Mg 2.14-2.15
O14 0.7500 0.7504 0.2496  6 Mg 2.14-2.15
O15 0.7485 0.5000 0.0000  6 Mg 2.11-2.15
O16 0.5000 0.5000 0.7490  6 Mg 2.13-2.15
O17 0.7500 0.2496 0.2496  6 Mg 2.14-2.15
O18 0.5000 0.5000 0.2510  6 Mg 2.13-2.15
O19 0.5000 0.2568 0.0000  5 Mg 2.08-2.14, 1 Zn 2.20
O20 0.5000 0.0000 0.7432  5 Mg 2.08-2.14, 1 Zn 2.20
O21 0.5000 0.7490 0.5000  6 Mg 2.13-2.15
O22 0.5000 0.7432 0.0000  5 Mg 2.08-2.14, 1 Zn 2.20
O23 0.2515 0.0000 0.5000  6 Mg 2.11-2.15
O24 0.5000 0.2510 0.5000  6 Mg 2.13-2.15
O25 0.7500 0.7504 0.7504  6 Mg 2.14-2.15
O26 0.0000 0.5000 0.7478  6 Mg 2.12-2.16
O27 0.0000 0.0000 0.7379  5 Mg 2.04-2.17, 1 Ca 2.25
O28 0.0000 0.7478 0.5000  6 Mg 2.12-2.16
O29 0.7388 0.0000 0.0000  1 Zn 2.04, 4 Mg 2.17, 1 Ca 2.23
O30 0.2500 0.7504 0.7504  6 Mg 2.14-2.15
O31 0.7496 0.5000 0.5000  6 Mg 2.13-2.14
O32 0.0000 0.2621 0.0000  5 Mg 2.04-2.17, 1 Ca 2.25
Mg1 0.5000 0.7498 0.7498  6 O 2.14
Mg2 0.0000 0.7471 0.2529  6 O 2.12-2.17
Mg3 0.5000 0.5000 0.0000  6 O 2.08-2.15
Mg4 0.5000 0.7498 0.2502  6 O 2.14
Mg5 0.7496 0.5000 0.2504  6 O 2.13-2.15
Mg6 0.5000 0.2502 0.7498  6 O 2.14
Mg7 0.7496 0.5000 0.7496  6 O 2.13-2.15
Mg8 0.2532 0.0000 0.7465  6 O 2.11-2.17
Mg9 0.0000 0.2529 0.7471  6 O 2.12-2.17
Mg10 0.7468 0.7465 0.0000  6 O 2.11-2.17
Mg11 0.2504 0.5000 0.7496  6 O 2.13-2.15
Mg12 0.0000 0.2529 0.2529  6 O 2.12-2.17
Mg13 0.2504 0.5000 0.2504  6 O 2.13-2.15
Mg14 0.2532 0.2535 0.0000  6 O 2.11-2.17
Mg15 0.5000 0.0000 0.5000  6 O 2.08-2.15
Mg16 0.0000 0.7471 0.7471  6 O 2.12-2.17
Mg17 0.2504 0.7496 0.5000  6 O 2.13-2.15
Mg18 0.2504 0.2504 0.5000  6 O 2.13-2.15
Mg19 0.2532 0.7465 0.0000  6 O 2.11-2.17
Mg20 0.2532 0.0000 0.2535  6 O 2.11-2.17
Mg21 0.7496 0.7496 0.5000  6 O 2.13-2.15
Mg22 0.5000 0.5000 0.5000  6 O 2.13
Mg23 0.5000 0.2502 0.2502  6 O 2.14
Mg24 0.7468 0.0000 0.7465  6 O 2.11-2.17
Mg25 0.0000 0.0000 0.5000  6 O 2.04-2.16
Mg26 0.7468 0.0000 0.2535  6 O 2.11-2.17
Mg27 0.7496 0.2504 0.5000  6 O 2.13-2.15
Mg28 0.0000 0.5000 0.0000  6 O 2.04-2.16
Mg29 0.7468 0.2535 0.0000  6 O 2.11-2.17
Mg30 0.0000 0.5000 0.5000  6 O 2.12-2.14
Ca1 0.0000 0.0000 0.0000  6 O 2.23-2.25
Zn1 0.5000 0.0000 0.0000  6 O 2.04-2.20

(3)
A relaxed SiBi3Se6 crystal. Source: the Alexandria database, functional PBE.

## Properties
Uncorrected formation energy in eV per atom: -0.302
Space group: Cmc2_1 (36)
Fermi-level density of states in states/eV per cell: 7.73
Spin magnetization in μB/cell: 0.0

Cell: 6.9685 9.2830 9.2830 Å, 102.49 90.00 90.00°
Last column: nearest neighbours and their distance in Å.
Fractional coordinates of all 20 atoms:
Se1 0.1505 0.0461 0.9539  1 Si 2.33
Se2 0.2062 0.7864 0.2136  1 Si 2.28
Se3 0.1813 0.4216 0.8984  1 Si 2.34
Se4 0.6505 0.9539 0.0461  1 Si 2.33
Se5 0.6813 0.8984 0.4216  1 Si 2.34
Se6 0.6913 0.6296 0.6916  4 Bi 2.88-3.09
Se7 0.1913 0.6916 0.6296  4 Bi 2.88-3.09
Se8 0.6813 0.5784 0.1016  1 Si 2.34
Se9 0.6913 0.3084 0.3704  4 Bi 2.88-3.09
Se10 0.1913 0.3704 0.3084  4 Bi 2.88-3.09
Se11 0.7062 0.2136 0.7864  1 Si 2.28
Se12 0.1813 0.1016 0.5784  1 Si 2.34
Bi1 0.8671 0.5984 0.4016  6 Se 2.91-3.09
Bi2 0.3671 0.4016 0.5984  6 Se 2.91-3.09
Bi3 0.4929 0.9063 0.7169  5 Se 2.88-3.19
Bi4 0.9929 0.7169 0.9063  5 Se 2.88-3.19
Bi5 0.4929 0.2831 0.0937  5 Se 2.88-3.19
Bi6 0.9929 0.0937 0.2831  5 Se 2.88-3.19
Si1 0.5307 0.8038 0.1962  4 Se 2.28-2.34
Si2 0.0307 0.1962 0.8038  4 Se 2.28-2.34

(4)
A relaxed BaDyZn2 crystal. Source: the Alexandria database, functional PBE.

## Properties
Formation energy in eV per formula unit: 0.08
Space group: R-3m (166)
Fermi-level density of states in states/eV per cell: 3.88
Spin magnetization in μB/cell: 0.0

Cell: 3.9703 3.9703 9.3147 Å, 77.69 77.69 60.00°
Last column: nearest neighbours and their distance in Å.
Fractional coordinates of all 4 atoms:
Dy1 0.0000 0.0000 0.0000  6 Zn 3.01
Ba1 0.5000 0.5000 0.5000  6 Zn 3.44
Zn1 0.2616 0.2616 0.2153  3 Dy 3.01
Zn2 0.7384 0.7384 0.7847  3 Dy 3.01

(5)
A relaxed CsScTl crystal. Source: the Alexandria database, functional PBE.

## Properties
Formation energy in eV per formula unit: 0.06
Space group: P1 (1)
Fermi-level density of states in states/eV per cell: 6.65
ΔE to the lowest computed polymorph in eV/atom: 0.0698
Spin magnetization in μB/cell: 0.4

Cell: 3.8897 4.6092 14.2809 Å, 90.09 90.74 90.01°
Last column: nearest neighbours and their distance in Å.
Fractional coordinates of all 6 atoms:
Cs1 0.9626 0.7895 0.3308  2 Cs 3.89, 2 Tl 4.01-4.02, 2 Sc 4.22-4.24
Cs2 0.4184 0.2906 0.6602  1 Sc 3.60, 2 Cs 3.89
Sc1 0.9470 0.2848 0.0826  4 Tl 3.01-3.02, 2 Sc 3.11
Sc2 0.4389 0.2845 0.9125  6 Tl 3.06-3.38, 2 Sc 3.11
Tl1 0.4475 0.7847 0.0851  5 Sc 3.01-3.37
Tl2 0.9368 0.7847 0.8757  4 Sc 3.06

(6)
A relaxed LaPr2Ag crystal. Source: the Alexandria database, functional PBE.

## Properties
Formation energy in eV per formula unit: -0.04
Space group: P4/mmm (123)
Fermi-level density of states in states/eV per cell: 5.18
ΔE to the lowest computed polymorph in eV/atom: 0.0993
Spin magnetization in μB/cell: 0.0

Cell: 3.6975 5.7425 5.7425 Å, 90.00 90.00 90.00°
Last column: nearest neighbours and their distance in Å.
Fractional coordinates of all 4 atoms:
Ag1 0.5000 0.0000 0.0000  8 Pr 3.41, 2 Ag 3.70
La1 0.5000 0.5000 0.5000  8 Pr 3.41, 2 La 3.70
Pr1 0.0000 0.5000 0.0000  4 La 3.41, 4 Ag 3.41, 2 Pr 3.70
Pr2 0.0000 0.0000 0.5000  4 La 3.41, 4 Ag 3.41, 2 Pr 3.70

(7)
A relaxed W2SeBr crystal. Source: the Alexandria database, functional PBE.

## Properties
Uncorrected formation energy in eV per atom: 0.240
Space group: P4mm (99)
Fermi-level density of states in states/eV per cell: 3.96
ΔE to the lowest computed polymorph in eV/atom: 0.0989
Spin magnetization in μB/cell: 0.0

Cell: 3.0456 3.0456 8.6491 Å, 90.00 90.00 90.00°
Last column: nearest neighbours and their distance in Å.
Fractional coordinates of all 4 atoms:
Se1 0.5000 0.5000 0.8339  4 W 2.63
W1 0.0000 0.0000 0.0080  4 Se 2.63, 4 W 2.88
W2 0.5000 0.5000 0.2291  4 Br 2.76, 8 W 2.88-3.05
Br1 0.0000 0.0000 0.4290  4 W 2.76, 4 Br 3.05

(8)
A relaxed Cs2PtBr2F4 crystal. Source: the Alexandria database, functional PBE.

## Properties
Uncorrected formation energy in eV per atom: -1.771
Space group: I4/mmm (139)
Fermi-level density of states in states/eV per cell: 0.00
Spin magnetization in μB/cell: 0.0

Cell: 6.7466 6.7466 6.7466 Å, 100.90 113.92 113.92°
Last column: nearest neighbours and their distance in Å.
Fractional coordinates of all 9 atoms:
Br1 0.0000 0.7107 0.7107  1 Pt 2.49
Br2 0.0000 0.2893 0.2893  1 Pt 2.49
F1 0.3835 0.1917 0.1917  1 Pt 1.99
F2 0.6165 0.8083 0.8083  1 Pt 1.99
F3 0.0000 0.1917 0.8083  1 Pt 1.99
F4 0.0000 0.8083 0.1917  1 Pt 1.99
Cs1 0.5000 0.2500 0.7500  8 F 3.43, 4 Br 3.69
Cs2 0.5000 0.7500 0.2500  8 F 3.43, 4 Br 3.69
Pt1 0.0000 0.0000 0.0000  4 F 1.99